No. 1
This record from Alexandria via LeMat-Bulk describes a geometry-optimized YMn2Zn structure. The functional is PBE.

Lattice parameters (Å, degrees): 4.7089 4.7089 4.7089 124.34 116.96 89.00
With the nearest neighbours (Å) after each atom.
Atoms (fractional coordinates):
Y 0.5012 0.5012 0.0000  4 Mn 2.83-2.95, 4 Zn 2.87-2.89
Mn 0.9823 0.9823 0.0000  2 Mn 2.53, 2 Zn 2.72
Zn 0.2219 0.7219 0.5000  5 Mn 2.72-3.02, 4 Y 2.87-2.89
Mn 0.7945 0.2945 0.5000  2 Mn 2.53, 2 Y 2.83

For the density of states at the Fermi level, the calculation gives 4.34 states/eV per cell. The value obtained for the total energy is -6.352 eV per atom. The formation energy comes out at 0.7 eV per formula unit. As for the calculated volume: 18.177 Å³/atom. Its space group is Imm2, No. 44.


No. 2
This record from Alexandria via LeMat-Bulk describes a geometry-optimized YMnZn11 structure. The functional is PBE.

Lattice parameters (Å, degrees): 5.2454 6.8068 6.7757 81.35 67.23 67.13
With the nearest neighbours (Å) after each atom.
Atoms (fractional coordinates):
Zn 0.7151 0.7813 0.7817  8 Zn 2.58-2.84, 1 Mn 2.58
Zn 0.6361 0.3539 0.3484  8 Zn 2.64-2.95, 1 Mn 2.67
Zn 0.0000 0.0000 0.5000  10 Zn 2.58-2.77
Zn 0.2849 0.2187 0.2183  8 Zn 2.58-2.84, 1 Mn 2.58
Zn 0.0000 0.5000 0.0000  8 Zn 2.59-2.74, 2 Mn 2.62
Zn 0.0155 0.6461 0.3484  8 Zn 2.64-2.95, 1 Mn 2.67
Zn 0.9845 0.3539 0.6516  8 Zn 2.64-2.95, 1 Mn 2.67
Zn 0.3639 0.6461 0.6516  8 Zn 2.64-2.95, 1 Mn 2.67
Zn 0.5000 0.0000 0.5000  10 Zn 2.58-2.77
Mn 0.5000 0.5000 0.0000  10 Zn 2.58-2.67
Y 0.0000 0.0000 0.0000  18 Zn 3.11-3.40, 2 Mn 3.39
Zn 0.4968 0.7813 0.2183  8 Zn 2.58-2.84, 1 Mn 2.58
Zn 0.5032 0.2187 0.7817  8 Zn 2.58-2.84, 1 Mn 2.58

For the density of states at the Fermi level, the calculation gives 5.18 states/eV per cell. The value obtained for the total energy is -2.429 eV per atom. The formation energy comes out at -1.9 eV per formula unit. As for the calculated volume: 15.810 Å³/atom. Its space group is C2/m, No. 12.


No. 3
This record from Alexandria via LeMat-Bulk describes a geometry-optimized Y3MnZn structure. The functional is PBE.

Lattice parameters (Å, degrees): 5.1455 5.1455 5.1455 90.00 90.00 90.00
With the nearest neighbours (Å) after each atom.
Atoms (fractional coordinates):
Zn 0.5000 0.5000 0.5000  12 Y 3.64
Y 0.0000 0.0000 0.5000  2 Mn 2.57
Mn 0.0000 0.0000 0.0000  6 Y 2.57
Y 0.5000 0.0000 0.0000  2 Mn 2.57
Y 0.0000 0.5000 0.0000  2 Mn 2.57

For the density of states at the Fermi level, the calculation gives 7.41 states/eV per cell. The value obtained for the total energy is -5.675 eV per atom. The formation energy comes out at 1.5 eV per formula unit. As for the calculated volume: 27.247 Å³/atom. The value obtained for the energy above the lowest structure with this stoichiometry is 0.000 eV per atom. Its space group is Pm-3m, No. 221.


No. 4
This record from Alexandria via LeMat-Bulk describes a geometry-optimized YMn2Zn structure. The functional is PBE.

Lattice parameters (Å, degrees): 4.9786 4.9786 4.9786 130.59 130.59 72.47
With the nearest neighbours (Å) after each atom.
Atoms (fractional coordinates):
Zn 0.7500 0.2500 0.5000  8 Mn 2.89, 4 Y 2.94
Y 0.2500 0.7500 0.5000  8 Mn 2.89, 4 Zn 2.94
Mn 0.0000 0.0000 0.0000  4 Zn 2.89, 4 Y 2.89, 4 Mn 2.94
Mn 0.5000 0.5000 0.0000  4 Y 2.89, 4 Zn 2.89, 4 Mn 2.94

For the density of states at the Fermi level, the calculation gives 4.04 states/eV per cell. The value obtained for the total energy is -6.302 eV per atom. The formation energy comes out at 0.9 eV per formula unit. As for the calculated volume: 17.390 Å³/atom. Its space group is I4/mmm, No. 139.


No. 5
This record from Alexandria via LeMat-Bulk describes a geometry-optimized YMn2Zn structure. The functional is PBE.

Lattice parameters (Å, degrees): 4.2545 4.2545 9.3135 76.80 76.80 90.00
With the nearest neighbours (Å) after each atom.
Atoms (fractional coordinates):
Zn 0.2500 0.7500 0.5000  4 Mn 2.45
Y 0.0000 0.0000 0.0000  4 Zn 3.01, 8 Mn 3.24
Y 0.7500 0.2500 0.5000  4 Zn 3.01, 8 Mn 3.24
Mn 0.3748 0.6250 0.2500  2 Mn 2.13
Mn 0.8750 0.6252 0.7500  2 Mn 2.13
Zn 0.5000 0.5000 0.0000  4 Mn 2.45
Mn 0.3750 0.6248 0.7500  2 Mn 2.13
Mn 0.3752 0.1250 0.2500  2 Mn 2.13

For the density of states at the Fermi level, the calculation gives 3.76 states/eV per cell. The value obtained for the total energy is -6.076 eV per atom. The formation energy comes out at 1.8 eV per formula unit. As for the calculated volume: 19.943 Å³/atom. Its space group is I4_1/amd, No. 141.


No. 6
This record from Alexandria via LeMat-Bulk describes a geometry-optimized YZrMn2 structure. The functional is PBE.

Lattice parameters (Å, degrees): 5.5428 5.5428 4.9679 75.20 75.20 32.56
With the nearest neighbours (Å) after each atom.
Atoms (fractional coordinates):
Zr 0.7319 0.7319 0.8088  7 Mn 2.89-3.08, 2 Zr 3.11, 1 Y 3.24
Mn 0.9723 0.9723 0.9753  2 Mn 2.68, 1 Zr 2.89, 4 Y 2.96-2.98
Mn 0.2772 0.2772 0.2652  2 Mn 2.68, 2 Zr 2.89, 1 Y 2.95
Y 0.5186 0.5186 0.4507  7 Mn 2.95-3.08, 2 Y 3.11, 1 Zr 3.24

For the density of states at the Fermi level, the calculation gives 4.75 states/eV per cell. The value obtained for the total energy is -8.089 eV per atom. The formation energy comes out at 1.0 eV per formula unit. As for the calculated volume: 19.798 Å³/atom. Its space group is Cm, No. 8.


No. 7
This record from Alexandria via LeMat-Bulk describes a geometry-optimized YZrMn2 structure. The functional is PBE.

Lattice parameters (Å, degrees): 5.9619 5.9619 5.9619 147.40 136.29 55.58
With the nearest neighbours (Å) after each atom.
Atoms (fractional coordinates):
Mn 0.0777 0.0777 0.0000  2 Mn 2.08
Mn 0.1954 0.6954 0.5000  2 Mn 2.08
Y 0.4769 0.4769 0.0000  6 Mn 2.98-3.20, 4 Zr 3.26-3.33
Zr 0.7501 0.2501 0.5000  6 Mn 2.84-2.87

For the density of states at the Fermi level, the calculation gives 3.70 states/eV per cell. The value obtained for the total energy is -8.149 eV per atom. The formation energy comes out at 0.8 eV per formula unit. As for the calculated volume: 19.588 Å³/atom. Its space group is Imm2, No. 44.


No. 8
This record from Alexandria via LeMat-Bulk describes a geometry-optimized YZrMn2 structure. The functional is PBE.

Lattice parameters (Å, degrees): 4.6450 3.3519 5.0313 90.09 90.00 90.00
With the nearest neighbours (Å) after each atom.
Atoms (fractional coordinates):
Mn 0.5000 0.1253 0.2984  2 Zr 2.76, 4 Y 2.91-2.92, 2 Mn 2.96
Y 0.0000 0.6260 0.4069  8 Mn 2.91-3.13, 2 Zr 3.26
Mn 0.0000 0.1248 0.9323  4 Zr 2.88-2.89, 4 Y 2.92-3.13, 2 Mn 2.96
Zr 0.5000 0.6238 0.8624  6 Mn 2.76-2.89

For the density of states at the Fermi level, the calculation gives 4.64 states/eV per cell. The value obtained for the total energy is -8.176 eV per atom. The formation energy comes out at 0.6 eV per formula unit. As for the calculated volume: 19.583 Å³/atom. Its space group is Pm, No. 6.


No. 9
This record from Alexandria via LeMat-Bulk describes a geometry-optimized YZr3Mn structure. The functional is PBE.

Lattice parameters (Å, degrees): 4.9504 4.9504 4.9504 90.00 90.00 90.00
With the nearest neighbours (Å) after each atom.
Atoms (fractional coordinates):
Y 0.5000 0.5000 0.5000  12 Zr 3.50
Zr 0.0000 0.5000 0.0000  2 Mn 2.48
Mn 0.0000 0.0000 0.0000  6 Zr 2.48
Zr 0.0000 0.0000 0.5000  2 Mn 2.48
Zr 0.5000 0.0000 0.0000  2 Mn 2.48

For the density of states at the Fermi level, the calculation gives 9.36 states/eV per cell. The value obtained for the total energy is -8.039 eV per atom. The formation energy comes out at 1.1 eV per formula unit. As for the calculated volume: 24.263 Å³/atom. The value obtained for the energy above the lowest structure with this stoichiometry is 0.000 eV per atom. Its space group is Pm-3m, No. 221.


No. 10
This record from Alexandria via LeMat-Bulk describes a geometry-optimized YZrMn17 structure. The functional is PBE.

Lattice parameters (Å, degrees): 6.2709 6.2709 6.2709 86.16 86.16 86.16
With the nearest neighbours (Å) after each atom.
Atoms (fractional coordinates):
Mn 0.6436 0.1230 0.6436  9 Mn 2.45-2.65
Mn 0.2770 0.9985 0.7245  6 Mn 2.30-2.49
Mn 0.3601 0.3601 0.8718  9 Mn 2.47-2.67
Mn 0.8982 0.8982 0.8982  4 Mn 2.32-2.58
Mn 0.3601 0.8718 0.3601  9 Mn 2.47-2.67
Mn 0.2770 0.7245 0.9985  6 Mn 2.30-2.49
Mn 0.9985 0.7245 0.2770  6 Mn 2.30-2.49
Mn 0.9985 0.2770 0.7245  6 Mn 2.30-2.49
Mn 0.6436 0.6436 0.1230  9 Mn 2.45-2.65
Y 0.3556 0.3556 0.3556  16 Mn 2.90-3.24
Mn 0.1230 0.6436 0.6436  9 Mn 2.45-2.65
Mn 0.7245 0.2770 0.9985  6 Mn 2.30-2.49
Mn 0.8718 0.3601 0.3601  9 Mn 2.47-2.67
Mn 0.0990 0.0990 0.0990  4 Mn 2.32-2.60
Mn 0.9999 0.5005 0.9999  8 Mn 2.30-2.47
Mn 0.7245 0.9985 0.2770  6 Mn 2.30-2.49
Mn 0.5005 0.9999 0.9999  8 Mn 2.30-2.47
Zr 0.6449 0.6449 0.6449  13 Mn 2.86-3.13
Mn 0.9999 0.9999 0.5005  8 Mn 2.30-2.47

For the density of states at the Fermi level, the calculation gives 18.44 states/eV per cell. The value obtained for the total energy is -9.009 eV per atom. The formation energy comes out at -0.3 eV per formula unit. As for the calculated volume: 12.895 Å³/atom. Its space group is R3m, No. 160.